A | Fe2Cu2Ni7 | PBE | optimized geometry

Values from the calculation:
The volume comes out at 136 Å³/f.u.

Cell: 4.877 4.877 6.667 Å, 90.00 90.00 120.94°
Element x y z (fractional)
Fe 0.242 0.242 0.000
Fe 0.758 0.758 0.000
Cu 0.272 0.728 0.500
Cu 0.728 0.272 0.500
Ni 0.000 0.000 0.500
Ni 0.000 0.500 0.182
Ni 0.000 0.500 0.818
Ni 0.500 0.000 0.182
Ni 0.500 0.000 0.818
Ni 0.500 0.500 0.302
Ni 0.500 0.500 0.698

=====

B | Fe2Cu2Ni7 | PBE | optimized geometry

Values from the calculation:
The volume comes out at 129 Å³/f.u.

Cell: 5.743 5.743 4.360 Å, 107.99 107.99 90.15°
Element x y z (fractional)
Fe 0.191 0.809 0.000
Fe 0.809 0.191 0.000
Cu 0.405 0.405 0.680
Cu 0.595 0.595 0.320
Ni 0.000 0.000 0.500
Ni 0.073 0.585 0.326
Ni 0.248 0.248 0.048
Ni 0.415 0.927 0.674
Ni 0.585 0.073 0.326
Ni 0.752 0.752 0.952
Ni 0.927 0.415 0.674

=====

Verdict on stability: B comes out on top.